Density functional theory data (GGA-PBEsol) for CoSiW2 after structural relaxation.

```
data_CoSiW2
_chemical_formula_sum 'Co1 Si1 W2'
_symmetry_space_group_name_H-M 'P 1'
_symmetry_Int_Tables_number 1
_cell_length_a 2.7193
_cell_length_b 4.6275
_cell_length_c 4.6275
_cell_angle_alpha 113.05
_cell_angle_beta 90.00
_cell_angle_gamma 90.00
loop_
_symmetry_equiv_pos_as_xyz
'x,y,z'
loop_
_atom_site_label
_atom_site_fract_x
_atom_site_fract_y
_atom_site_fract_z
Si1 0.5000 0.5000 0.5000
W1 0.0000 0.0000 0.5000
W2 0.0000 0.5000 0.0000
Co1 0.5000 0.0000 0.0000
```

Properties
space group = Cmmm
formation energy from raw total energies = 0.2 eV per formula unit



Density functional theory data (GGA-PBEsol) for InTcHg2 after structural relaxation.

```
data_InTcHg2
_chemical_formula_sum 'In1 Tc1 Hg2'
_symmetry_space_group_name_H-M 'P 1'
_symmetry_Int_Tables_number 1
_cell_length_a 2.9942
_cell_length_b 2.9942
_cell_length_c 8.7818
_cell_angle_alpha 90.00
_cell_angle_beta 90.00
_cell_angle_gamma 90.00
loop_
_symmetry_equiv_pos_as_xyz
'x,y,z'
loop_
_atom_site_label
_atom_site_fract_x
_atom_site_fract_y
_atom_site_fract_z
Hg1 0.5000 0.5000 0.2487
Hg2 0.0000 0.0000 0.9685
In1 0.0000 0.0000 0.5350
Tc1 0.5000 0.5000 0.7477
```

Properties
energy of formation from the pure elements = 392 meV/atom
space group = P4mm



Density functional theory data (GGA-PBEsol) for Te2AsBr after structural relaxation.

```
data_Te2AsBr
_chemical_formula_sum 'Te2 As1 Br1'
_symmetry_space_group_name_H-M 'P 1'
_symmetry_Int_Tables_number 1
_cell_length_a 4.0695
_cell_length_b 4.0695
_cell_length_c 7.5303
_cell_angle_alpha 90.00
_cell_angle_beta 90.00
_cell_angle_gamma 90.00
loop_
_symmetry_equiv_pos_as_xyz
'x,y,z'
loop_
_atom_site_label
_atom_site_fract_x
_atom_site_fract_y
_atom_site_fract_z
Te1 0.0000 0.0000 0.0437
Te2 0.5000 0.5000 0.3660
As1 0.0000 0.0000 0.3790
Br1 0.5000 0.5000 0.7113
```

Properties
space group = P4mm
formation energy from raw total energies = 0.4 eV per formula unit



Density functional theory data (GGA-PBEsol) for KBaTi3 after structural relaxation.

```
data_KBaTi3
_chemical_formula_sum 'K1 Ba1 Ti3'
_symmetry_space_group_name_H-M 'P 1'
_symmetry_Int_Tables_number 1
_cell_length_a 5.0502
_cell_length_b 5.0502
_cell_length_c 5.0502
_cell_angle_alpha 90.00
_cell_angle_beta 90.00
_cell_angle_gamma 90.00
loop_
_symmetry_equiv_pos_as_xyz
'x,y,z'
loop_
_atom_site_label
_atom_site_fract_x
_atom_site_fract_y
_atom_site_fract_z
Ba1 0.5000 0.5000 0.5000
K1 0.0000 0.0000 0.0000
Ti1 0.0000 0.5000 0.0000
Ti2 0.5000 0.0000 0.0000
Ti3 0.0000 0.0000 0.5000
```

Properties
energy of formation from the pure elements = 1871 meV/atom
space group = Pm-3m



Density functional theory data (GGA-PBEsol) for BaPH3 after structural relaxation.

```
data_BaPH3
_chemical_formula_sum 'Ba1 P1 H3'
_symmetry_space_group_name_H-M 'P 1'
_symmetry_Int_Tables_number 1
_cell_length_a 3.9078
_cell_length_b 3.9078
_cell_length_c 3.9078
_cell_angle_alpha 90.00
_cell_angle_beta 90.00
_cell_angle_gamma 90.00
loop_
_symmetry_equiv_pos_as_xyz
'x,y,z'
loop_
_atom_site_label
_atom_site_fract_x
_atom_site_fract_y
_atom_site_fract_z
H1 0.0000 0.0000 0.5000
H2 0.5000 0.0000 0.0000
H3 0.0000 0.5000 0.0000
Ba1 0.5000 0.5000 0.5000
P1 0.0000 0.0000 0.0000
```

Properties
space group = Pm-3m
VASP energy = -18.030 eV for the cell shown



Density functional theory data (GGA-PBEsol) for K2Ti2Re after structural relaxation.

```
data_K2Ti2Re
_chemical_formula_sum 'K2 Ti2 Re1'
_symmetry_space_group_name_H-M 'P 1'
_symmetry_Int_Tables_number 1
_cell_length_a 4.8889
_cell_length_b 5.4251
_cell_length_c 4.8889
_cell_angle_alpha 63.22
_cell_angle_beta 90.00
_cell_angle_gamma 116.78
loop_
_symmetry_equiv_pos_as_xyz
'x,y,z'
loop_
_atom_site_label
_atom_site_fract_x
_atom_site_fract_y
_atom_site_fract_z
K1 0.3586 0.7172 0.6414
K2 0.6414 0.2828 0.3586
Ti1 0.2500 0.5000 0.2500
Ti2 0.7500 0.5000 0.7500
Re1 0.0000 0.0000 0.0000
```

Properties
energy of formation from the pure elements = 2192 meV/atom
space group = I4/mmm



Density functional theory data (GGA-PBEsol) for MgTaIr after structural relaxation.

```
data_MgTaIr
_chemical_formula_sum 'Mg1 Ta1 Ir1'
_symmetry_space_group_name_H-M 'P 1'
_symmetry_Int_Tables_number 1
_cell_length_a 4.3078
_cell_length_b 4.3078
_cell_length_c 4.3078
_cell_angle_alpha 60.00
_cell_angle_beta 60.00
_cell_angle_gamma 60.00
loop_
_symmetry_equiv_pos_as_xyz
'x,y,z'
loop_
_atom_site_label
_atom_site_fract_x
_atom_site_fract_y
_atom_site_fract_z
Ta1 0.5000 0.5000 0.5000
Ir1 0.7500 0.7500 0.7500
Mg1 0.0000 0.0000 0.0000
```

Properties
energy of formation from the pure elements = -47 meV/atom
space group = F-43m



Density functional theory data (GGA-PBEsol) for MnSiO3 after structural relaxation.

```
data_MnSiO3
_chemical_formula_sum 'Mn16 Si16 O48'
_symmetry_space_group_name_H-M 'P 1'
_symmetry_Int_Tables_number 1
_cell_length_a 10.1337
_cell_length_b 10.1337
_cell_length_c 10.1337
_cell_angle_alpha 109.19
_cell_angle_beta 109.19
_cell_angle_gamma 110.04
loop_
_symmetry_equiv_pos_as_xyz
'x,y,z'
loop_
_atom_site_label
_atom_site_fract_x
_atom_site_fract_y
_atom_site_fract_z
O1 0.2115 0.5913 0.9579
O2 0.1248 0.1936 0.1383
O3 0.7577 0.2764 0.3501
O4 0.0417 0.9062 0.5829
O5 0.8413 0.3834 0.8798
O6 0.4436 0.8054 0.5688
O7 0.9450 0.7856 0.2542
O8 0.1252 0.5564 0.3617
O9 0.8606 0.5759 0.3411
O10 0.0356 0.2814 0.3406
O11 0.1562 0.0734 0.3646
O12 0.7694 0.6106 0.7846
O13 0.5264 0.6763 0.0187
O14 0.7464 0.7885 0.3798
O15 0.2083 0.8438 0.9171
O16 0.5412 0.9583 0.8646
O17 0.6577 0.5077 0.9813
O18 0.5923 0.2423 0.5187
O19 0.4087 0.3666 0.6202
O20 0.8259 0.9848 0.2154
O21 0.3092 0.0550 0.8406
O22 0.6166 0.4964 0.4579
O23 0.0134 0.8752 0.0688
O24 0.3894 0.1741 0.1589
O25 0.0554 0.9866 0.8617
O26 0.4923 0.4736 0.1499
O27 0.4806 0.1394 0.7154
O28 0.0938 0.6766 0.1354
O29 0.1946 0.7634 0.6383
O30 0.5036 0.9615 0.1202
O31 0.7236 0.0737 0.4813
O32 0.3050 0.9644 0.2458
O33 0.0385 0.1587 0.5421
O34 0.3234 0.4588 0.4171
O35 0.3237 0.3423 0.8501
O36 0.9266 0.2912 0.0829
O37 0.2144 0.4686 0.1594
O38 0.4241 0.7652 0.2846
O39 0.2348 0.5194 0.6589
O40 0.7088 0.7917 0.6354
O41 0.6334 0.2536 0.0421
O42 0.2366 0.8748 0.4312
O43 0.7186 0.0592 0.7542
O44 0.5314 0.6908 0.7458
O45 0.9263 0.4077 0.6499
O46 0.9408 0.6950 0.6594
O47 0.0152 0.2306 0.8411
O48 0.8064 0.9446 0.9312
Si1 0.1250 0.3750 0.2500
Si2 0.8980 0.7609 0.3902
Si3 0.2500 0.7500 0.5000
Si4 0.1250 0.8750 0.7500
Si5 0.5000 0.5000 0.0000
Si6 0.0000 0.0000 0.0000
Si7 0.1250 0.8750 0.2500
Si8 0.2391 0.6293 0.1371
Si9 0.3707 0.5077 0.6098
Si10 0.8793 0.2423 0.8902
Si11 0.7500 0.2500 0.5000
Si12 0.3520 0.9891 0.1098
Si13 0.4923 0.1020 0.8629
Si14 0.6250 0.8750 0.7500
Si15 0.0109 0.1207 0.3629
Si16 0.7577 0.6480 0.6371
Mn1 0.3931 0.2605 0.3847
Mn2 0.7487 0.7487 0.0000
Mn3 0.7395 0.1241 0.1326
Mn4 0.6250 0.3750 0.7500
Mn5 0.5105 0.6259 0.3674
Mn6 0.2513 0.2513 0.0000
Mn7 0.8759 0.0085 0.6153
Mn8 0.5013 0.0013 0.5000
Mn9 0.8569 0.4895 0.1153
Mn10 0.6250 0.8750 0.2500
Mn11 0.9915 0.6069 0.8674
Mn12 0.1250 0.3750 0.7500
Mn13 0.2585 0.1431 0.6326
Mn14 0.6250 0.3750 0.2500
Mn15 0.3741 0.7415 0.8847
Mn16 0.9987 0.4987 0.5000
```

Properties
space group = I4_1/a
formation energy from raw total energies = -10.6 eV per formula unit



Density functional theory data (GGA-PBEsol) for K2Sb2Rh after structural relaxation.

```
data_K2Sb2Rh
_chemical_formula_sum 'K4 Sb4 Rh2'
_symmetry_space_group_name_H-M 'P 1'
_symmetry_Int_Tables_number 1
_cell_length_a 5.7926
_cell_length_b 6.8405
_cell_length_c 6.8405
_cell_angle_alpha 90.00
_cell_angle_beta 90.00
_cell_angle_gamma 90.00
loop_
_symmetry_equiv_pos_as_xyz
'x,y,z'
loop_
_atom_site_label
_atom_site_fract_x
_atom_site_fract_y
_atom_site_fract_z
K1 0.5000 0.6741 0.8259
K2 0.5000 0.8259 0.3259
K3 0.5000 0.1741 0.6741
K4 0.5000 0.3259 0.1741
Sb1 0.0000 0.3516 0.8516
Sb2 0.0000 0.8516 0.6484
Sb3 0.0000 0.6484 0.1484
Sb4 0.0000 0.1484 0.3516
Rh1 0.0000 0.0000 0.0000
Rh2 0.0000 0.5000 0.5000
```

Properties
space group = P4/mbm
formation energy from raw total energies = -1.7 eV per formula unit



Density functional theory data (GGA-PBEsol) for BaTm2CoO5 after structural relaxation.

```
data_BaTm2CoO5
_chemical_formula_sum 'Ba4 Tm8 Co4 O20'
_symmetry_space_group_name_H-M 'P 1'
_symmetry_Int_Tables_number 1
_cell_length_a 5.6149
_cell_length_b 6.9078
_cell_length_c 12.0349
_cell_angle_alpha 90.00
_cell_angle_beta 90.00
_cell_angle_gamma 90.00
loop_
_symmetry_equiv_pos_as_xyz
'x,y,z'
loop_
_atom_site_label
_atom_site_fract_x
_atom_site_fract_y
_atom_site_fract_z
Ba1 0.7500 0.4201 0.6002
Ba2 0.2500 0.5799 0.3998
Ba3 0.7500 0.0799 0.1002
Ba4 0.2500 0.9201 0.8998
Tm1 0.2500 0.0953 0.5754
Tm2 0.7500 0.9047 0.4246
Tm3 0.2500 0.3791 0.7919
Tm4 0.7500 0.8791 0.7081
Tm5 0.7500 0.6209 0.2081
Tm6 0.2500 0.4047 0.0754
Tm7 0.7500 0.5953 0.9246
Tm8 0.2500 0.1209 0.2919
O1 0.7500 0.5782 0.3956
O2 0.4968 0.8312 0.5643
O3 0.2500 0.4218 0.6044
O4 0.0006 0.1356 0.7248
O5 0.9994 0.8644 0.2752
O6 0.9968 0.1688 0.4357
O7 0.4994 0.3644 0.2248
O8 0.4968 0.6688 0.0643
O9 0.0006 0.3644 0.2248
O10 0.5032 0.1688 0.4357
O11 0.5006 0.6356 0.7752
O12 0.4994 0.1356 0.7248
O13 0.5032 0.3312 0.9357
O14 0.2500 0.0782 0.1044
O15 0.5006 0.8644 0.2752
O16 0.0032 0.8312 0.5643
O17 0.0032 0.6688 0.0643
O18 0.9994 0.6356 0.7752
O19 0.7500 0.9218 0.8956
O20 0.9968 0.3312 0.9357
Co1 0.2500 0.8091 0.1527
Co2 0.2500 0.6909 0.6527
Co3 0.7500 0.3091 0.3473
Co4 0.7500 0.1909 0.8473
```

Properties
space group = Pnma
formation energy from raw total energies = -25.2 eV per formula unit



Density functional theory data (GGA-PBEsol) for TiFeSi after structural relaxation.

```
data_TiFeSi
_chemical_formula_sum 'Ti3 Fe3 Si3'
_symmetry_space_group_name_H-M 'P 1'
_symmetry_Int_Tables_number 1
_cell_length_a 3.4617
_cell_length_b 6.1465
_cell_length_c 6.1465
_cell_angle_alpha 120.00
_cell_angle_beta 90.00
_cell_angle_gamma 90.00
loop_
_symmetry_equiv_pos_as_xyz
'x,y,z'
loop_
_atom_site_label
_atom_site_fract_x
_atom_site_fract_y
_atom_site_fract_z
Si1 0.5000 0.0000 0.0000
Si2 0.0000 0.3333 0.6667
Si3 0.0000 0.6667 0.3333
Ti1 0.5000 0.4192 0.0000
Ti2 0.5000 0.0000 0.4192
Ti3 0.5000 0.5808 0.5808
Fe1 0.0000 0.7559 0.0000
Fe2 0.0000 0.2441 0.2441
Fe3 0.0000 0.0000 0.7559
```

Properties
space group = P-62m
formation energy from raw total energies = -2.3 eV per formula unit



Density functional theory data (GGA-PBEsol) for Na2SbRuW after structural relaxation.

```
data_Na2SbRuW
_chemical_formula_sum 'Na2 Sb1 Ru1 W1'
_symmetry_space_group_name_H-M 'P 1'
_symmetry_Int_Tables_number 1
_cell_length_a 4.4802
_cell_length_b 5.4792
_cell_length_c 5.4792
_cell_angle_alpha 90.00
_cell_angle_beta 90.00
_cell_angle_gamma 90.00
loop_
_symmetry_equiv_pos_as_xyz
'x,y,z'
loop_
_atom_site_label
_atom_site_fract_x
_atom_site_fract_y
_atom_site_fract_z
Sb1 0.5000 0.5000 0.5000
Na1 0.0000 0.0000 0.5000
Na2 0.0000 0.5000 0.0000
W1 0.0000 0.0000 0.0000
Ru1 0.5000 0.0000 0.0000
```

Properties
space group = P4/mmm
formation energy from raw total energies = 8.0 eV per formula unit